[1]
The following is a DFT calculation (GGA-PBE) of an optimized crystal structure of CoPb3.

- Magnetic moment: 1.04 μB/f.u.
- E_tot: -4.27 eV per atom

a b c (Å): 3.3605 3.3605 8.6948
angles (deg): 90.00 90.00 90.21
Last column: magnetic moment on the atom in μB.
Atoms (fractional coordinates):
Pb (0.5000, 0.5000, 0.1896)  -0.02
Pb (0.0000, 0.0000, 0.5000)  0.02
Pb (0.5000, 0.5000, 0.8104)  -0.02
Co (0.0000, 0.0000, 0.0000)  1.13

---

[2]
The following is a DFT calculation (GGA-PBE) of an optimized crystal structure of TbDyGaRu.

- Magnetic moment: 0.00 μB/f.u.
- Offset from the most stable computed form: 0.0 kJ/mol of atoms
- E_tot: -5.87 eV per atom

a b c (Å): 3.9468 4.2833 5.7058
angles (deg): 90.00 110.23 90.00
Atoms (fractional coordinates):
Tb (0.8561, 0.5000, 0.7121)
Ga (0.4334, 0.0000, 0.8669)
Ru (0.5702, 0.5000, 0.1403)
Dy (0.1403, 0.0000, 0.2806)

---

[3]
The following is a DFT calculation (GGA-PBE) of an optimized crystal structure of NdY6Ho3.

- Magnetic moment: 0.00 μB/f.u.
- Offset from the most stable computed form: 2.8 kJ/mol of atoms
- E_tot: -5.58 eV per atom

a b c (Å): 6.2644 10.9624 10.9624
angles (deg): 119.72 90.00 90.00
Atoms (fractional coordinates):
Y (0.1504, 0.7169, 0.2831)
Y (0.8620, 0.9580, 0.5403)
Y (0.0342, 0.7099, 0.6195)
Ho (0.0751, 0.3893, 0.6107)
Ho (0.9532, 0.7165, 0.9356)
Y (0.8620, 0.4597, 0.0420)
Y (0.3620, 0.0420, 0.4597)
Y (0.4035, 0.9529, 0.0471)
Y (0.0342, 0.3805, 0.2901)
Ho (0.4532, 0.9356, 0.7165)
Ho (0.4532, 0.2835, 0.0644)
Y (0.5342, 0.6195, 0.7099)
Y (0.9035, 0.0471, 0.9529)
Nd (0.1577, 0.2060, 0.7940)
Ho (0.5751, 0.6107, 0.3893)
Ho (0.9532, 0.0644, 0.2835)
Nd (0.6577, 0.7940, 0.2060)
Y (0.6504, 0.2831, 0.7169)
Y (0.5342, 0.2901, 0.3805)
Y (0.3620, 0.5403, 0.9580)

---

[4]
The following is a DFT calculation (GGA-PBE) of an optimized crystal structure of ZrSiAsSe2.

- Magnetic moment: 0.00 μB/f.u.
- Offset from the most stable computed form: 6.3 kJ/mol of atoms
- E_tot: -4.91 eV per atom
- Formation energy from raw total energies: 0.21 eV/atom

a b c (Å): 5.1505 5.1505 5.2760
angles (deg): 90.00 90.00 90.00
Atoms (fractional coordinates):
Zr (0.0000, 0.0000, 0.0000)
As (0.0000, 0.0000, 0.5000)
Se (0.5000, 0.0000, 0.0000)
Si (0.5000, 0.5000, 0.5000)
Se (0.0000, 0.5000, 0.0000)

---

[5]
The following is a DFT calculation (GGA-PBE) of an optimized crystal structure of Pm4Ho3Tm2.

- Magnetic moment: 0.00 μB/f.u.
- Offset from the most stable computed form: 0.0 kJ/mol of atoms
- E_tot: -4.61 eV per atom

a b c (Å): 5.0439 7.9872 7.9936
angles (deg): 107.44 108.39 90.00
Atoms (fractional coordinates):
Pm (0.2227, 0.3317, 0.4454)
Tm (0.6673, 0.9998, 0.3346)
Tm (0.3327, 0.0002, 0.6654)
Ho (0.0000, 0.0000, 0.0000)
Pm (0.7773, 0.6683, 0.5546)
Ho (0.8886, 0.3305, 0.7771)
Pm (0.4458, 0.6693, 0.8917)
Pm (0.5542, 0.3307, 0.1083)
Ho (0.1114, 0.6695, 0.2229)

---

[6]
The following is a DFT calculation (GGA-PBE) of an optimized crystal structure of LiNd5Te8.

- Magnetic moment: 0.00 μB/f.u.
- E_tot: -5.03 eV per atom
- Formation energy from raw total energies: -1.40 eV/atom

a b c (Å): 8.2519 8.2519 8.2519
angles (deg): 109.96 108.49 109.96
Atoms (fractional coordinates):
Te (0.6354, 0.3978, 0.8820)
Nd (0.8760, 0.8793, 0.2462)
Li (0.2500, 0.5000, 0.7500)
Te (0.6118, 0.8909, 0.8682)
Te (0.1180, 0.7534, 0.5157)
Te (0.7624, 0.2466, 0.3646)
Te (0.2791, 0.2564, 0.3882)
Nd (0.0033, 0.3702, 0.1240)
Nd (0.3669, 0.1207, 0.9967)
Te (0.1318, 0.7436, 0.0228)
Nd (0.5000, 0.0000, 0.5000)
Nd (0.7538, 0.6298, 0.6331)
Te (0.4843, 0.6022, 0.2376)
Te (0.9772, 0.1091, 0.7209)

---

[7]
The following is a DFT calculation (GGA-PBE) of an optimized crystal structure of AcThCd17.

- Magnetic moment: 0.00 μB/f.u.
- E_tot: -1.56 eV per atom

a b c (Å): 7.7220 7.7220 7.7220
angles (deg): 82.45 82.45 82.45
Atoms (fractional coordinates):
Cd (0.1908, 0.6284, 0.6284)
Cd (0.9843, 0.9843, 0.5173)
Cd (0.0025, 0.7000, 0.2960)
Cd (0.9843, 0.5173, 0.9843)
Cd (0.5173, 0.9843, 0.9843)
Cd (0.7000, 0.2960, 0.0025)
Th (0.3305, 0.3305, 0.3305)
Cd (0.0025, 0.2960, 0.7000)
Ac (0.6639, 0.6639, 0.6639)
Cd (0.1051, 0.1051, 0.1051)
Cd (0.2960, 0.7000, 0.0025)
Cd (0.2960, 0.0025, 0.7000)
Cd (0.9066, 0.9066, 0.9066)
Cd (0.7000, 0.0025, 0.2960)
Cd (0.6284, 0.1908, 0.6284)
Cd (0.3479, 0.8677, 0.3479)
Cd (0.3479, 0.3479, 0.8677)
Cd (0.6284, 0.6284, 0.1908)
Cd (0.8677, 0.3479, 0.3479)

---

[8]
The following is a DFT calculation (GGA-PBE) of an optimized crystal structure of SmTaB2.

- Magnetic moment: 0.00 μB/f.u.
- E_tot: -7.55 eV per atom

a b c (Å): 3.4805 3.4805 6.3090
angles (deg): 73.99 73.99 60.00
Atoms (fractional coordinates):
Ta (0.0000, 0.0000, 0.0000)
B (0.7324, 0.7324, 0.8029)
Sm (0.5000, 0.5000, 0.5000)
B (0.2676, 0.2676, 0.1971)

---

Question: The lowest E_tot belongs to which entry?
Answer: SmTaB2

---

Question: The highest magnetic moment belongs to which entry?
Answer: CoPb3

---

Question: magnetic moment of number 2 (TbDyGaRu)?
Answer: 0.00 μB/f.u.